This record from the Alexandria database describes crystalline KLiSi at its relaxed geometry. The functional is GGA-PBE.

Summary:
The spin magnetization comes out at 0.0 μB per formula unit. The space group is No. 156. The density of states at the Fermi level is 1.91 states/eV/cell. The energy relative to the lowest polymorph listed for this composition comes out at 388 meV per atom. For the formation energy without anion corrections, the calculation gives 0.295 eV per atom.

Cell lengths 5.1799, 5.1799, 2.9778 Å; angles 90.00, 90.00, 120.00 degrees
Sites, in units of the cell vectors:
1 K 0.0000 0.0000 0.1163
2 Li 0.6667 0.3333 0.2422
3 Si 0.3333 0.6667 0.6414



This record from the Alexandria database describes crystalline Na2MgAg at its relaxed geometry. The functional is GGA-PBE.

Summary:
The spin magnetization comes out at 0.0 μB per formula unit. The space group is No. 166. The density of states at the Fermi level is 2.54 states/eV/cell. The calculation puts the formation energy at 0.140 eV/atom.

Cell lengths 3.2114, 3.2114, 11.4131 Å; angles 81.91, 81.91, 60.00 degrees
Sites, in units of the cell vectors:
1 Na 0.0943 0.0943 0.7170
2 Na 0.9057 0.9057 0.2830
3 Mg 0.0000 0.0000 0.0000
4 Ag 0.5000 0.5000 0.5000



This record from the Alexandria database describes crystalline CdIr at its relaxed geometry. The functional is GGA-PBE.

Summary:
The spin magnetization comes out at 0.0 μB per formula unit. The space group is No. 139. The density of states at the Fermi level is 16.77 states/eV/cell. The calculation puts the formation energy at 0.322 eV/atom.

Cell lengths 8.0762, 8.0762, 4.6683 Å; angles 90.00, 90.00, 90.00 degrees
Sites, in units of the cell vectors:
1 Cd 0.2189 0.5000 0.0000
2 Cd 0.7811 0.5000 0.0000
3 Cd 0.5000 0.7811 0.0000
4 Cd 0.5000 0.2189 0.0000
5 Cd 0.7189 0.0000 0.5000
6 Cd 0.2811 0.0000 0.5000
7 Cd 0.0000 0.2811 0.5000
8 Cd 0.0000 0.7189 0.5000
9 Ir 0.8426 0.8426 0.0000
10 Ir 0.8426 0.1574 0.0000
11 Ir 0.1574 0.8426 0.0000
12 Ir 0.1574 0.1574 0.0000
13 Ir 0.3426 0.3426 0.5000
14 Ir 0.3426 0.6574 0.5000
15 Ir 0.6574 0.3426 0.5000
16 Ir 0.6574 0.6574 0.5000